[1]
Tl2HgOs | GGA-PBE | relaxed Values from VASP.

Quantum ESPRESSO input file:
```
&SYSTEM
  ibrav = 0, nat = 4, ntyp = 3
/
ATOMIC_SPECIES
Tl 204.38 Tl.upf
Os 190.23 Os.upf
Hg 200.59 Hg.upf
CELL_PARAMETERS angstrom
-0.0158 0.2367 7.4689
-2.8920 -0.5150 6.8711
0.7960 -4.3137 1.5948
ATOMIC_POSITIONS crystal
Tl 0.9350 0.9350 0.0650
Tl 0.7469 0.7469 0.7530
Os 0.2481 0.2481 0.2518
Hg 0.5700 0.5700 0.4301
```

energy above the most stable polymorph in this dataset: 0.12 eV per formula unit
E_form: 2.5 eV/f.u.
DOS(E_F): 3.4 states/eV per cell
SG: Imm2, No. 44

[2]
LiAc2ZrPd6 | GGA-PBE | relaxed Values from VASP.

Quantum ESPRESSO input file:
```
&SYSTEM
  ibrav = 0, nat = 10, ntyp = 4
/
ATOMIC_SPECIES
Pd 106.42 Pd.upf
Ac 227.00 Ac.upf
Li 6.94 Li.upf
Zr 91.22 Zr.upf
CELL_PARAMETERS angstrom
-5.6210 6.4237 -0.1593
-4.1716 -3.6167 1.3568
-4.1391 2.1997 5.0488
ATOMIC_POSITIONS crystal
Pd 0.2459 0.2416 0.9998
Pd 0.5919 0.7519 0.4964
Pd 0.2460 0.7587 0.9998
Pd 0.7540 0.2413 0.0002
Pd 0.4081 0.2481 0.5036
Pd 0.7541 0.7584 0.0002
Ac 0.1948 0.7398 0.5204
Ac 0.8052 0.2602 0.4796
Li 0.0000 0.0000 0.0000
Zr 0.5000 0.5000 0.0000
```

E_form: -5.6 eV/f.u.
DOS(E_F): 4.6 states/eV per cell
SG: C2/m, No. 12

[3]
Te2PAu | GGA-PBE | relaxed Values from VASP.

Quantum ESPRESSO input file:
```
&SYSTEM
  ibrav = 0, nat = 4, ntyp = 3
/
ATOMIC_SPECIES
Au 196.97 Au.upf
Te 127.60 Te.upf
P 30.97 P.upf
CELL_PARAMETERS angstrom
-1.4250 1.2359 -2.4772
0.2675 -2.7116 -1.5067
-11.0809 -3.6290 4.5638
ATOMIC_POSITIONS crystal
Au 0.0000 0.0000 0.5806
Te 0.5000 0.5000 0.2950
Te 0.0000 0.0000 0.9536
P 0.5000 0.5000 0.6708
```

E_form (uncorrected): 0.375 eV per atom
DOS(E_F): 1.5 states/eV per cell
SG: P4mm, No. 99

[4]
TlPbS3 | GGA-PBE | relaxed Values from VASP.

Quantum ESPRESSO input file:
```
&SYSTEM
  ibrav = 0, nat = 5, ntyp = 3
/
ATOMIC_SPECIES
Pb 207.20 Pb.upf
S 32.06 S.upf
Tl 204.38 Tl.upf
CELL_PARAMETERS angstrom
5.2448 0.0000 0.0000
0.0000 5.2448 0.0000
0.0000 0.0000 5.2448
ATOMIC_POSITIONS crystal
Pb 0.0000 0.0000 0.0000
S 0.0000 0.0000 0.5000
S 0.0000 0.5000 0.0000
S 0.5000 0.0000 0.0000
Tl 0.5000 0.5000 0.5000
```

E_form (uncorrected): 0.239 eV per atom
energy above the most stable polymorph in this dataset: 1.03 eV per formula unit
DOS(E_F): 4.6 states/eV per cell
SG: Pm-3m, No. 221

[5]
DyY3Ni8 | GGA-PBE | relaxed Values from VASP.

Quantum ESPRESSO input file:
```
&SYSTEM
  ibrav = 0, nat = 12, ntyp = 3
/
ATOMIC_SPECIES
Ni 58.69 Ni.upf
Y 88.91 Y.upf
Dy 162.50 Dy.upf
CELL_PARAMETERS angstrom
-4.4585 2.3450 0.6190
-3.8657 -2.4394 2.2061
-0.2855 2.7408 8.3689
ATOMIC_POSITIONS crystal
Ni 0.1876 0.1876 0.4372
Ni 0.4373 0.9374 0.1880
Ni 0.4373 0.4373 0.1880
Ni 0.9374 0.4381 0.6871
Ni 0.9374 0.9374 0.6871
Ni 0.4381 0.9374 0.6871
Ni 0.9374 0.4373 0.1880
Ni 0.6875 0.6875 0.9374
Y 0.5001 0.5001 0.4998
Y 0.3751 0.3751 0.8748
Y 0.9998 0.9998 0.0007
Dy 0.8750 0.8750 0.3750
```

E_form: -5.1 eV/f.u.
DOS(E_F): 6.5 states/eV per cell
SG: R3m, No. 160

Number 1: magnetization 0.27 μB/cell. Number 2: magnetization 0.00 μB/cell. Number 3: magnetization 0.00 μB/cell. Number 4: magnetization 0.00 μB/cell. Number 5: magnetization 0.00 μB/cell.